1.
First-principles (PBE) data for a relaxed AcTbFe crystal, as listed in OQMD.

Summary:
space group: F-43m
magnetic moment: 0.30 μB/cell
volume: 27.63 A^3/atom
ΔE_f: 301 meV/atom
distance to the lowest polymorph of the same formula: 0 meV/atom
raw total energy: -5.3800 eV/atom

Geometry as POSCAR:
```
AcTbFe
1.0
0.0000 3.4607 3.4607
3.4607 0.0000 3.4607
3.4607 3.4607 0.0000
Fe Ac Tb
1 1 1
Cartesian
1.7303 1.7303 1.7303 Fe
0.0000 0.0000 0.0000 Ac
3.4607 3.4607 3.4607 Tb
```

2.
First-principles (PBE) data for a relaxed PrSc2In3PtAu2 crystal, as listed in OQMD.

Summary:
space group: Amm2
magnetic moment: 0.01 μB/cell
volume: 22.01 A^3/atom
raw total energy: -4.9797 eV/atom

Geometry as POSCAR:
```
PrSc2In3PtAu2
1.0
3.8679 0.0000 0.0000
0.0000 6.6908 3.8264
0.0000 -6.6908 3.8264
In Sc Au Pt Pr
3 2 2 1 1
Cartesian
1.9340 4.9324 4.7907 In
1.9340 0.0000 5.6800 In
1.9340 -4.9324 4.7907 In
0.0000 4.0364 2.3179 Sc
0.0000 -4.0364 2.3179 Sc
1.9340 -2.3288 3.8461 Au
1.9340 2.3288 3.8461 Au
0.0000 0.0000 7.5926 Pt
0.0000 0.0000 3.0816 Pr
```

Q: Among the records above, which one has the highest raw total energy?
A: PrSc2In3PtAu2